(1)
BaLi2Nb after structural relaxation. Source: Alexandria, functional PBE.

```
BaLi2Nb
1.0
0.000 3.796 3.796
3.796 0.000 3.796
3.796 3.796 0.000
Ba Li Nb
1 2 1
Cartesian
0.000 0.000 0.000 Ba
1.898 1.898 1.898 Li
5.693 5.693 5.693 Li
3.796 3.796 3.796 Nb
```

Density of states at the Fermi level in states/eV per cell: 4.98
Formation energy in kJ per mole of atoms: 75.81
Excess energy over the best structure of this formula in the dataset in meV per atom: 0
Size of the total moment in μB per cell: 3.8

=====

(2)
BaLiNb after structural relaxation. Source: Alexandria, functional PBE.

```
BaLiNb
1.0
4.635 0.000 0.000
0.000 5.331 0.000
-0.014 0.000 7.869
Ba Li Nb
2 2 2
Cartesian
0.000 0.000 0.000 Ba
2.309 2.666 2.772 Ba
0.003 2.666 5.362 Li
2.319 2.666 6.585 Li
2.299 0.000 5.193 Nb
4.622 0.000 4.302 Nb
```

Density of states at the Fermi level in states/eV per cell: 5.95
Formation energy in kJ per mole of atoms: 52.19
Excess energy over the best structure of this formula in the dataset in meV per atom: 168
Size of the total moment in μB per cell: 0.1

=====

(3)
BaLiNb after structural relaxation. Source: Alexandria, functional PBE.

```
BaLiNb
1.0
2.697 -4.672 0.000
2.697 4.672 0.000
0.000 0.000 7.481
Ba Li Nb
2 2 2
Cartesian
0.000 0.000 0.000 Ba
0.000 0.000 3.740 Ba
2.697 1.552 5.610 Li
2.697 -1.552 1.870 Li
2.697 1.564 1.870 Nb
2.697 -1.564 5.610 Nb
```

Density of states at the Fermi level in states/eV per cell: 5.27
Formation energy in kJ per mole of atoms: 106.82
Excess energy over the best structure of this formula in the dataset in meV per atom: 734
Size of the total moment in μB per cell: 7.9

=====

(4)
BaLiNb after structural relaxation. Source: Alexandria, functional PBE.

```
BaLiNb
1.0
3.363 0.000 0.000
1.176 6.116 0.000
0.371 2.373 8.314
Ba Li Nb
2 2 2
Cartesian
0.000 0.000 0.000 Ba
0.629 3.038 2.262 Ba
3.068 5.981 3.699 Li
4.592 7.480 5.303 Li
1.656 4.160 5.444 Nb
2.865 5.456 6.923 Nb
```

Density of states at the Fermi level in states/eV per cell: 2.60
Formation energy in kJ per mole of atoms: 49.51
Excess energy over the best structure of this formula in the dataset in meV per atom: 140
Size of the total moment in μB per cell: 0.0

=====

(5)
BaLiNb after structural relaxation. Source: Alexandria, functional PBE.

```
BaLiNb
1.0
3.442 0.000 0.000
1.152 6.797 0.000
0.316 3.220 7.634
Ba Li Nb
2 2 2
Cartesian
0.000 0.000 0.000 Ba
0.158 1.610 3.817 Ba
1.495 3.436 1.188 Li
3.414 6.581 6.446 Li
1.772 4.728 4.729 Nb
3.137 5.289 2.905 Nb
```

Density of states at the Fermi level in states/eV per cell: 5.30
Formation energy in kJ per mole of atoms: 50.42
Excess energy over the best structure of this formula in the dataset in meV per atom: 149
Size of the total moment in μB per cell: 0.0

=====

(6)
BaLi3Nb after structural relaxation. Source: Alexandria, functional PBE.

```
BaLi3Nb
1.0
5.440 0.000 0.000
0.000 5.440 0.000
0.000 0.000 5.440
Ba Li Nb
1 3 1
Cartesian
0.000 0.000 0.000 Ba
0.000 2.720 2.720 Li
2.720 0.000 2.720 Li
2.720 2.720 0.000 Li
2.720 2.720 2.720 Nb
```

Density of states at the Fermi level in states/eV per cell: 4.22
Formation energy in kJ per mole of atoms: 77.74
Excess energy over the best structure of this formula in the dataset in meV per atom: 0
Size of the total moment in μB per cell: 5.9

=====

(7)
BaLiNb after structural relaxation. Source: Alexandria, functional PBE.

```
BaLiNb
1.0
5.342 0.000 0.000
-2.671 4.626 0.000
0.000 0.000 3.008
Ba Li Nb
1 1 1
Cartesian
0.000 0.000 0.000 Ba
2.671 1.542 1.504 Li
0.000 3.084 0.000 Nb
```

Density of states at the Fermi level in states/eV per cell: 2.97
Formation energy in kJ per mole of atoms: 92.91
Excess energy over the best structure of this formula in the dataset in meV per atom: 590
Size of the total moment in μB per cell: 0.0

=====

(8)
BaLi4Nb2 after structural relaxation. Source: Alexandria, functional PBE.

```
BaLi4Nb2
1.0
-2.753 2.753 7.530
2.753 -2.753 7.530
2.753 2.753 -7.530
Ba Li Nb
1 4 2
Cartesian
0.000 0.000 0.000 Ba
2.753 0.000 0.000 Li
0.000 0.000 3.532 Li
0.000 2.753 0.000 Li
0.000 0.000 11.527 Li
0.000 0.000 6.446 Nb
0.000 0.000 8.613 Nb
```

Density of states at the Fermi level in states/eV per cell: 6.86
Formation energy in kJ per mole of atoms: 94.58
Size of the total moment in μB per cell: 0.0

=====

(9)
BaLiNb after structural relaxation. Source: Alexandria, functional PBE.

```
BaLiNb
1.0
0.000 3.889 3.889
3.889 0.000 3.889
3.889 3.889 0.000
Ba Li Nb
1 1 1
Cartesian
0.000 0.000 0.000 Ba
5.834 5.834 5.834 Li
1.945 1.945 1.945 Nb
```

Density of states at the Fermi level in states/eV per cell: 1.86
Formation energy in kJ per mole of atoms: 153.54
Excess energy over the best structure of this formula in the dataset in meV per atom: 1218
Size of the total moment in μB per cell: 4.3

=====

(10)
BaLiNb after structural relaxation. Source: Alexandria, functional PBE.

```
BaLiNb
1.0
6.263 0.000 0.000
0.000 4.576 0.000
-0.700 0.000 6.391
Ba Li Nb
2 2 2
Cartesian
1.473 1.144 0.492 Ba
4.090 3.432 5.899 Ba
2.073 1.144 3.706 Li
3.489 3.432 2.684 Li
0.103 3.432 3.098 Nb
5.460 1.144 3.293 Nb
```

Density of states at the Fermi level in states/eV per cell: 6.53
Formation energy in kJ per mole of atoms: 53.44
Excess energy over the best structure of this formula in the dataset in meV per atom: 181
Size of the total moment in μB per cell: 0.0

=====

(11)
BaLiNb after structural relaxation. Source: Alexandria, functional PBE.

```
BaLiNb
1.0
4.667 0.000 0.000
-2.334 4.042 0.000
0.000 0.000 11.151
Ba Li Nb
2 2 2
Cartesian
0.000 0.000 2.788 Ba
0.000 0.000 8.363 Ba
0.000 2.695 2.788 Li
2.334 1.347 8.363 Li
0.000 0.000 0.000 Nb
0.000 0.000 5.576 Nb
```

Density of states at the Fermi level in states/eV per cell: 8.43
Formation energy in kJ per mole of atoms: 218.35
Excess energy over the best structure of this formula in the dataset in meV per atom: 1890
Size of the total moment in μB per cell: 2.8

=====

(12)
BaLiNb after structural relaxation. Source: Alexandria, functional PBE.

```
BaLiNb
1.0
5.071 0.000 0.000
0.000 5.461 0.000
0.000 0.000 12.466
Ba Li Nb
4 4 4
Cartesian
1.267 1.365 0.444 Ba
1.269 4.096 6.677 Ba
3.802 1.365 5.789 Ba
3.804 4.096 12.022 Ba
1.265 1.365 3.654 Li
1.270 4.096 9.887 Li
3.800 1.365 2.580 Li
3.805 4.096 8.813 Li
0.006 1.365 9.349 Nb
2.530 4.096 3.115 Nb
2.541 1.365 9.351 Nb
5.065 4.096 3.118 Nb
```

Density of states at the Fermi level in states/eV per cell: 14.83
Formation energy in kJ per mole of atoms: 55.65
Excess energy over the best structure of this formula in the dataset in meV per atom: 204
Size of the total moment in μB per cell: 0.0

=====

(13)
BaLiNb after structural relaxation. Source: Alexandria, functional PBE.

```
BaLiNb
1.0
4.173 0.000 0.000
0.000 4.173 0.000
0.000 0.000 9.223
Ba Li Nb
2 2 2
Cartesian
1.043 3.130 0.000 Ba
3.130 1.043 0.000 Ba
1.043 1.043 2.657 Li
3.130 3.130 6.565 Li
1.043 1.043 5.197 Nb
3.130 3.130 4.026 Nb
```

Density of states at the Fermi level in states/eV per cell: 8.78
Formation energy in kJ per mole of atoms: 121.12
Excess energy over the best structure of this formula in the dataset in meV per atom: 882
Size of the total moment in μB per cell: 0.0

=====

(14)
BaLiNb after structural relaxation. Source: Alexandria, functional PBE.

```
BaLiNb
1.0
0.000 3.813 3.813
3.813 0.000 3.813
3.813 3.813 0.000
Ba Li Nb
1 1 1
Cartesian
0.000 0.000 0.000 Ba
3.813 3.813 3.813 Li
1.907 1.907 1.907 Nb
```

Density of states at the Fermi level in states/eV per cell: 3.00
Formation energy in kJ per mole of atoms: 130.43
Excess energy over the best structure of this formula in the dataset in meV per atom: 979
Size of the total moment in μB per cell: 4.0

=====

(15)
BaLi3Nb4O12 after structural relaxation. Source: Alexandria, functional PBE.

```
BaLi3Nb4O12
1.0
-3.914 3.914 3.914
3.914 -3.914 3.914
3.914 3.914 -3.914
Ba Li Nb O
1 3 4 12
Cartesian
0.000 0.000 0.000 Ba
3.914 0.000 0.000 Li
0.000 3.914 0.000 Li
0.000 0.000 3.914 Li
1.957 1.957 -1.957 Nb
1.957 -1.957 1.957 Nb
-1.957 1.957 1.957 Nb
1.957 1.957 1.957 Nb
3.914 -1.594 2.384 O
2.319 1.530 0.000 O
5.508 1.530 0.000 O
2.384 3.914 -1.594 O
1.530 0.000 2.319 O
0.000 2.319 1.530 O
3.914 1.594 2.384 O
2.384 3.914 1.594 O
1.530 0.000 5.508 O
-1.594 2.384 3.914 O
1.594 2.384 3.914 O
0.000 5.508 1.530 O
```

Density of states at the Fermi level in states/eV per cell: 4.07
Energy relative to the elements, uncorrected in kcal/mol of atoms: -57.9
Size of the total moment in μB per cell: 0.0

=====

(16)
Ba8LiNb7O24 after structural relaxation. Source: Alexandria, functional PBE.

```
Ba8LiNb7O24
1.0
5.919 0.000 0.000
-2.960 5.126 0.000
0.000 0.000 19.251
Ba Li Nb O
8 1 7 24
Cartesian
0.000 0.000 0.000 Ba
0.000 0.000 4.304 Ba
0.000 0.000 11.881 Ba
0.000 3.417 7.014 Ba
0.000 3.417 16.745 Ba
2.960 1.709 2.280 Ba
2.960 1.709 9.633 Ba
2.960 1.709 14.097 Ba
0.000 3.417 3.872 Li
0.000 0.000 8.245 Nb
0.000 0.000 15.527 Nb
0.000 3.417 1.119 Nb
0.000 3.417 10.606 Nb
0.000 3.417 13.215 Nb
2.960 1.709 5.819 Nb
2.960 1.709 17.854 Nb
-1.434 2.589 11.897 O
0.000 1.683 9.485 O
-1.502 4.284 9.485 O
0.000 1.690 14.336 O
-1.496 4.281 14.336 O
0.000 1.789 2.137 O
-1.410 4.231 2.137 O
1.475 0.852 7.179 O
1.487 0.858 16.680 O
1.434 2.589 11.897 O
0.000 5.074 11.897 O
2.960 0.018 19.023 O
1.496 2.554 19.023 O
2.960 0.070 4.816 O
1.541 2.528 4.816 O
1.410 4.231 2.137 O
1.496 4.281 14.336 O
1.502 4.284 9.485 O
4.432 0.858 16.680 O
2.960 3.409 16.680 O
4.444 0.852 7.179 O
2.960 3.423 7.179 O
4.378 2.528 4.816 O
4.423 2.554 19.023 O
```

Density of states at the Fermi level in states/eV per cell: 7.82
Energy relative to the elements, uncorrected in kcal/mol of atoms: -63.6
Size of the total moment in μB per cell: 0.0

=====

(17)
Ba4LiNb3O12 after structural relaxation. Source: Alexandria, functional PBE.

```
Ba4LiNb3O12
1.0
19.380 0.000 0.000
0.000 5.882 0.000
0.000 0.000 10.220
Ba Li Nb O
16 4 12 48
Cartesian
0.010 1.471 2.537 Ba
2.557 1.471 9.468 Ba
2.671 4.412 4.161 Ba
4.818 4.412 0.866 Ba
4.872 1.471 5.976 Ba
7.019 1.471 9.271 Ba
7.133 4.412 4.358 Ba
9.680 4.412 7.647 Ba
9.700 1.471 2.573 Ba
12.247 1.471 5.862 Ba
12.361 4.412 0.949 Ba
14.508 4.412 4.244 Ba
14.562 1.471 9.354 Ba
16.709 1.471 6.059 Ba
16.823 4.412 0.752 Ba
19.370 4.412 7.683 Ba
3.236 1.471 2.544 Li
6.454 4.412 7.654 Li
12.927 1.471 2.566 Li
16.144 4.412 7.676 Li
1.228 4.412 0.890 Nb
1.245 1.471 5.929 Nb
3.687 4.412 7.692 Nb
6.003 1.471 2.582 Nb
8.445 4.412 0.819 Nb
8.462 1.471 6.000 Nb
10.918 4.412 4.220 Nb
10.935 1.471 9.401 Nb
13.377 4.412 7.638 Nb
15.693 1.471 2.528 Nb
18.135 4.412 4.291 Nb
18.152 1.471 9.330 Nb
0.000 0.000 0.000 O
0.000 0.000 5.110 O
0.000 2.941 0.000 O
0.000 2.941 5.110 O
0.041 4.412 2.535 O
2.287 0.029 6.821 O
2.287 2.912 6.821 O
2.306 4.412 9.340 O
2.340 1.471 4.365 O
2.355 3.009 1.621 O
2.355 5.814 1.621 O
4.631 4.412 6.032 O
4.690 3.001 8.472 O
4.690 5.823 8.472 O
5.000 0.059 3.362 O
5.000 2.882 3.362 O
5.059 1.471 0.922 O
7.335 0.068 6.731 O
7.335 2.873 6.731 O
7.350 4.412 9.475 O
7.384 1.471 4.230 O
7.403 2.970 1.711 O
7.403 5.853 1.711 O
9.649 1.471 7.645 O
9.690 0.000 0.000 O
9.690 0.000 5.110 O
9.690 2.941 0.000 O
9.690 2.941 5.110 O
9.731 4.412 2.575 O
11.977 0.029 8.509 O
11.977 2.912 8.509 O
11.996 4.412 5.990 O
12.030 1.471 0.745 O
12.045 3.009 3.489 O
12.045 5.814 3.489 O
14.321 4.412 9.298 O
14.380 3.001 6.858 O
14.380 5.823 6.858 O
14.690 0.059 1.748 O
14.690 2.882 1.748 O
14.749 1.471 4.188 O
17.026 0.068 8.599 O
17.026 2.873 8.599 O
17.040 4.412 5.855 O
17.074 1.471 0.880 O
17.093 2.970 3.399 O
17.093 5.853 3.399 O
19.339 1.471 7.685 O
```

Density of states at the Fermi level in states/eV per cell: 0.00
Energy relative to the elements, uncorrected in kcal/mol of atoms: -64.4
Excess energy over the best structure of this formula in the dataset in meV per atom: 1
Size of the total moment in μB per cell: 0.0

=====

(18)
Ba2Li2NbO6 after structural relaxation. Source: Alexandria, functional PBE.

```
Ba2Li2NbO6
1.0
2.958 1.708 5.262
-2.958 1.708 5.262
0.000 -3.415 5.262
Ba Li Nb O
2 2 1 6
Cartesian
0.000 0.000 3.650 Ba
0.000 0.000 12.135 Ba
0.000 0.000 6.746 Li
0.000 0.000 9.039 Li
0.000 0.000 0.000 Nb
0.000 -1.804 6.473 O
-1.562 0.902 6.473 O
-1.562 -0.902 9.312 O
1.562 0.902 6.473 O
1.562 -0.902 9.312 O
0.000 1.804 9.312 O
```

Density of states at the Fermi level in states/eV per cell: 7.32
Energy relative to the elements, uncorrected in kcal/mol of atoms: -53.7
Size of the total moment in μB per cell: 1.1